[1]
DFT (PBE) results for crystalline KV2ZnCl at its relaxed geometry.

a b c (Å): 5.702 5.702 5.355
angles (deg): 90.00 90.00 90.00
Atoms (fractional coordinates):
1 K 0.000 0.000 0.000
2 V 0.000 0.500 0.000
3 V 0.500 0.000 0.000
4 Zn 0.500 0.500 0.500
5 Cl 0.000 0.000 0.500

Results
For the uncorrected formation energy, the calculation gives 1589.0 meV/atom. The calculation puts the total energy at -2.9020 eV per atom.

[2]
DFT (PBE) results for crystalline LiTm2CdAu4 at its relaxed geometry.

a b c (Å): 8.393 8.393 8.393
angles (deg): 33.65 33.65 33.65
Atoms (fractional coordinates):
1 Li 0.000 0.000 0.000
2 Tm 0.248 0.248 0.248
3 Tm 0.752 0.752 0.752
4 Cd 0.500 0.500 0.500
5 Au 0.120 0.120 0.120
6 Au 0.371 0.371 0.371
7 Au 0.629 0.629 0.629
8 Au 0.880 0.880 0.880

Results
For the formation energy, the calculation gives -702 meV per atom. The calculation puts the total energy at -3.8122 eV per atom.

[3]
DFT (PBE) results for crystalline InPdAuS2 at its relaxed geometry.

a b c (Å): 4.731 4.731 5.207
angles (deg): 90.00 90.00 90.00
Atoms (fractional coordinates):
1 In 0.000 0.000 0.000
2 Pd 0.500 0.500 0.000
3 Au 0.500 0.500 0.500
4 S 0.000 0.500 0.500
5 S 0.500 0.000 0.500

Results
For the uncorrected formation energy, the calculation gives 483.5 meV/atom. The calculation puts the total energy at -3.4092 eV per atom.

[4]
DFT (PBE) results for crystalline CeNdSm2Dy at its relaxed geometry.

a b c (Å): 5.988 7.871 7.132
angles (deg): 90.00 90.00 90.00
Atoms (fractional coordinates):
1 Ce 0.000 0.000 0.000
2 Ce 0.500 0.000 0.000
3 Nd 0.250 0.500 0.162
4 Nd 0.750 0.500 0.838
5 Sm 0.250 0.291 0.686
6 Sm 0.250 0.709 0.686
7 Sm 0.750 0.291 0.314
8 Sm 0.750 0.709 0.314
9 Dy 0.250 0.000 0.395
10 Dy 0.750 0.000 0.605

Results
For the formation energy, the calculation gives 273 meV per atom. The calculation puts the total energy at -4.6755 eV per atom.

[5]
DFT (PBE) results for crystalline InGaH6Ru2 at its relaxed geometry.

a b c (Å): 6.268 6.268 5.399
angles (deg): 108.37 108.37 104.54
Atoms (fractional coordinates):
1 In 0.091 0.909 0.750
2 In 0.909 0.091 0.250
3 Ga 0.248 0.752 0.250
4 Ga 0.752 0.248 0.750
5 H 0.046 0.519 0.717
6 H 0.183 0.351 0.077
7 H 0.308 0.496 0.533
8 H 0.351 0.183 0.577
9 H 0.481 0.954 0.783
10 H 0.496 0.308 0.033
11 H 0.504 0.692 0.967
12 H 0.519 0.046 0.217
13 H 0.649 0.817 0.423
14 H 0.692 0.504 0.467
15 H 0.817 0.649 0.923
16 H 0.954 0.481 0.283
17 Ru 0.245 0.401 0.807
18 Ru 0.401 0.245 0.307
19 Ru 0.599 0.755 0.693
20 Ru 0.755 0.599 0.193

Results
The calculation puts the total energy at -4.3777 eV per atom.

[6]
DFT (PBE) results for crystalline TbPrCdNi at its relaxed geometry.

a b c (Å): 5.173 5.173 5.173
angles (deg): 60.00 60.00 60.00
Atoms (fractional coordinates):
1 Tb 0.000 0.000 0.000
2 Pr 0.500 0.500 0.500
3 Cd 0.250 0.250 0.250
4 Ni 0.750 0.750 0.750

Results
For the formation energy, the calculation gives -199 meV per atom. The calculation puts the total energy at -4.2256 eV per atom.

[7]
DFT (PBE) results for crystalline SmErAlGa at its relaxed geometry.

a b c (Å): 5.111 5.111 5.111
angles (deg): 60.00 60.00 60.00
Atoms (fractional coordinates):
1 Sm 0.000 0.000 0.000
2 Er 0.500 0.500 0.500
3 Al 0.250 0.250 0.250
4 Ga 0.750 0.750 0.750

Results
The energy above the most stable polymorph in this dataset comes out at 28 meV/atom. For the formation energy, the calculation gives -468 meV per atom. The calculation puts the total energy at -4.4804 eV per atom.

[8]
DFT (PBE) results for crystalline ScHgB at its relaxed geometry.

a b c (Å): 5.855 3.172 11.333
angles (deg): 90.00 90.00 90.00
Atoms (fractional coordinates):
1 Sc 0.181 0.250 0.146
2 Sc 0.319 0.750 0.646
3 Sc 0.681 0.250 0.354
4 Sc 0.819 0.750 0.854
5 Hg 0.192 0.250 0.420
6 Hg 0.308 0.750 0.920
7 Hg 0.692 0.250 0.080
8 Hg 0.808 0.750 0.580
9 B 0.053 0.250 0.742
10 B 0.447 0.750 0.242
11 B 0.553 0.250 0.758
12 B 0.947 0.750 0.258

Results
The energy above the most stable polymorph in this dataset comes out at 755 meV/atom. For the formation energy, the calculation gives 243 meV per atom. The calculation puts the total energy at -4.1941 eV per atom.

Summary of volume in Å³ per atom
34.82, 20.22, 23.31, 33.62, 8.80, 24.48, 23.60, 17.54
(order as listed above)